# Pr3RhPb3

Pr3RhPb3 after structural relaxation (GGA-PBE, Alexandria via LeMat-Bulk).

The value obtained for the raw total energy is -5.25 eV/atom. The calculation puts the energy of formation at -565 meV per atom.

Unit cell a=6.299 b=6.299 c=15.811 alpha=107.91 beta=107.91 gamma=43.39
Element x y z (fractional)
Pr  0.021  0.021  0.381
Pr  0.097  0.097  0.922
Pr  0.238  0.238  0.245
Pr  0.762  0.762  0.755
Pr  0.903  0.903  0.078
Pr  0.979  0.979  0.619
Rh  0.254  0.254  0.620
Rh  0.746  0.746  0.380
Pb  0.350  0.350  0.467
Pb  0.370  0.370  0.923
Pb  0.479  0.479  0.765
Pb  0.521  0.521  0.235
Pb  0.630  0.630  0.077
Pb  0.650  0.650  0.533

***

# Pr5RhPb2

Pr5RhPb2 after structural relaxation (GGA-PBE, Alexandria via LeMat-Bulk).

The value obtained for the raw total energy is -5.38 eV/atom. The calculation puts the energy of formation at -551 meV per atom.

Unit cell a=8.309 b=12.735 c=4.772 alpha=90.00 beta=90.00 gamma=90.00
Element x y z (fractional)
Pr  0.000  0.000  0.000
Pr  0.133  0.298  0.000
Pr  0.187  0.566  0.500
Pr  0.313  0.066  0.500
Pr  0.367  0.798  0.000
Pr  0.500  0.500  0.000
Pr  0.633  0.202  0.000
Pr  0.687  0.934  0.500
Pr  0.813  0.434  0.500
Pr  0.867  0.702  0.000
Rh  0.000  0.500  0.000
Rh  0.500  0.000  0.000
Pb  0.081  0.828  0.500
Pb  0.419  0.328  0.500
Pb  0.581  0.672  0.500
Pb  0.919  0.172  0.500

***

# Pr6RhPb2

Pr6RhPb2 after structural relaxation (GGA-PBE, Alexandria via LeMat-Bulk).

The value obtained for the raw total energy is -5.22 eV/atom. The calculation puts the energy of formation at -393 meV per atom.

Unit cell a=6.498 b=8.702 c=12.319 alpha=90.00 beta=121.06 gamma=90.00
Element x y z (fractional)
Pr  0.081  0.175  0.451
Pr  0.081  0.325  0.951
Pr  0.318  0.683  0.451
Pr  0.318  0.817  0.951
Pr  0.353  0.028  0.244
Pr  0.353  0.472  0.744
Pr  0.647  0.528  0.256
Pr  0.647  0.972  0.756
Pr  0.682  0.183  0.049
Pr  0.682  0.317  0.549
Pr  0.919  0.675  0.049
Pr  0.919  0.825  0.549
Rh  0.500  0.000  0.500
Rh  0.500  0.500  0.000
Pb  0.170  0.114  0.754
Pb  0.170  0.386  0.254
Pb  0.830  0.614  0.746
Pb  0.830  0.886  0.246

***

# Pr2Rh2Pb3

Pr2Rh2Pb3 after structural relaxation (GGA-PBE, Alexandria via LeMat-Bulk).

The value obtained for the raw total energy is -5.49 eV/atom. The calculation puts the energy of formation at -439 meV per atom.

Unit cell a=5.848 b=5.848 c=7.851 alpha=111.77 beta=111.77 gamma=45.21
Element x y z (fractional)
Pr  0.148  0.148  0.299
Pr  0.852  0.852  0.701
Rh  0.146  0.146  0.704
Rh  0.854  0.854  0.296
Pb  0.372  0.372  0.052
Pb  0.500  0.500  0.500
Pb  0.628  0.628  0.948

***

# Pr3Rh2Pb3

Pr3Rh2Pb3 after structural relaxation (GGA-PBE, Alexandria via LeMat-Bulk).

The value obtained for the raw total energy is -5.57 eV/atom. The calculation puts the energy of formation at -549 meV per atom.

Unit cell a=8.696 b=16.066 c=6.051 alpha=90.00 beta=90.00 gamma=90.00
Element x y z (fractional)
Pr  0.029  0.112  0.115
Pr  0.029  0.388  0.115
Pr  0.165  0.250  0.637
Pr  0.335  0.750  0.137
Pr  0.471  0.612  0.615
Pr  0.471  0.888  0.615
Pr  0.529  0.112  0.385
Pr  0.529  0.388  0.385
Pr  0.665  0.250  0.863
Pr  0.835  0.750  0.363
Pr  0.971  0.612  0.885
Pr  0.971  0.888  0.885
Rh  0.084  0.615  0.364
Rh  0.084  0.885  0.364
Rh  0.416  0.115  0.864
Rh  0.416  0.385  0.864
Rh  0.584  0.615  0.136
Rh  0.584  0.885  0.136
Rh  0.916  0.115  0.636
Rh  0.916  0.385  0.636
Pb  0.185  0.750  0.628
Pb  0.191  0.033  0.614
Pb  0.191  0.467  0.614
Pb  0.309  0.533  0.114
Pb  0.309  0.967  0.114
Pb  0.315  0.250  0.128
Pb  0.685  0.750  0.872
Pb  0.691  0.033  0.886
Pb  0.691  0.467  0.886
Pb  0.809  0.533  0.386
Pb  0.809  0.967  0.386
Pb  0.815  0.250  0.372

***

# PrRh4Pb

PrRh4Pb after structural relaxation (GGA-PBE, Alexandria via LeMat-Bulk).

The value obtained for the raw total energy is -6.67 eV/atom. The calculation puts the energy of formation at -353 meV per atom.

Unit cell a=5.391 b=5.391 c=5.391 alpha=60.00 beta=60.00 gamma=60.00
Element x y z (fractional)
Pr  0.000  0.000  0.000
Rh  0.127  0.624  0.624
Rh  0.624  0.127  0.624
Rh  0.624  0.624  0.127
Rh  0.624  0.624  0.624
Pb  0.250  0.250  0.250

***

# Pr2RhPb

Pr2RhPb after structural relaxation (GGA-PBE, Alexandria via LeMat-Bulk).

The value obtained for the raw total energy is -5.64 eV/atom. The calculation puts the energy of formation at -487 meV per atom.

Unit cell a=9.027 b=9.027 c=9.027 alpha=25.56 beta=25.56 gamma=25.56
Element x y z (fractional)
Pr  0.232  0.232  0.232
Pr  0.768  0.768  0.768
Rh  0.500  0.500  0.500
Pb  0.000  0.000  0.000

***

# Pr3Rh3Pb

Pr3Rh3Pb after structural relaxation (GGA-PBE, Alexandria via LeMat-Bulk).

The value obtained for the raw total energy is -6.08 eV/atom. The calculation puts the energy of formation at -348 meV per atom.

Unit cell a=8.903 b=8.903 c=5.721 alpha=90.00 beta=90.00 gamma=120.00
Element x y z (fractional)
Pr  0.043  0.701  0.250
Pr  0.299  0.342  0.250
Pr  0.342  0.043  0.750
Pr  0.658  0.957  0.250
Pr  0.701  0.658  0.750
Pr  0.957  0.299  0.750
Rh  0.036  0.675  0.750
Rh  0.325  0.361  0.750
Rh  0.361  0.036  0.250
Rh  0.639  0.964  0.750
Rh  0.675  0.639  0.250
Rh  0.964  0.325  0.250
Pb  0.333  0.667  0.750
Pb  0.667  0.333  0.250